[1]
The following is a PBE-GGA calculation of Nd4CdHg2Pd after structural relaxation, from Alexandria via LeMat-Bulk.

## Properties
ΔH_f (0 K) (eV/atom): -0.50
VASP energy (eV per formula unit): -29.78
Density of states at the Fermi level (states/eV/atom): 0.8149
Space group: R-3m

Structure (POSCAR):
```
Nd4CdHg2Pd
1.0
2.6831 1.5491 8.7017
-2.6831 1.5491 8.7017
0.0000 -3.0982 8.7017
Nd Cd Hg Pd
4 1 2 1
Direct
0.1168 0.1168 0.1168
0.3695 0.3695 0.3695
0.6305 0.6305 0.6305
0.8832 0.8832 0.8832
0.5000 0.5000 0.5000
0.2412 0.2412 0.2412
0.7588 0.7588 0.7588
0.0000 0.0000 0.0000
```

[2]
The following is a PBE-GGA calculation of Nd2CdHg2Pd5 after structural relaxation, from Alexandria via LeMat-Bulk.

## Properties
ΔH_f (0 K) (eV/atom): -0.45
VASP energy (eV per formula unit): -41.51
Density of states at the Fermi level (states/eV/atom): 0.4350
Space group: P4/mbm

Structure (POSCAR):
```
Nd2CdHg2Pd5
1.0
10.2488 0.0000 0.0000
0.0000 10.2488 0.0000
0.0000 0.0000 3.9714
Nd Cd Hg Pd
4 2 4 10
Direct
0.1701 0.3299 0.0000
0.3299 0.8299 0.0000
0.6701 0.1701 0.0000
0.8299 0.6701 0.0000
0.0000 0.0000 0.0000
0.5000 0.5000 0.0000
0.1286 0.6286 0.0000
0.3714 0.1286 0.0000
0.6286 0.8714 0.0000
0.8714 0.3714 0.0000
0.0000 0.5000 0.5000
0.0426 0.8008 0.5000
0.1992 0.0426 0.5000
0.3008 0.5426 0.5000
0.4574 0.3008 0.5000
0.5000 0.0000 0.5000
0.5426 0.6992 0.5000
0.6992 0.4574 0.5000
0.8008 0.9574 0.5000
0.9574 0.1992 0.5000
```

[3]
The following is a PBE-GGA calculation of PmNd2CdHg4 after structural relaxation, from Alexandria via LeMat-Bulk.

## Properties
ΔH_f (0 K) (eV/atom): -0.44
VASP energy (eV per formula unit): -19.91
Density of states at the Fermi level (states/eV/atom): 0.7562
Space group: R-3m

Structure (POSCAR):
```
PmNd2CdHg4
1.0
2.6208 1.5131 9.0189
-2.6208 1.5131 9.0189
0.0000 -3.0262 9.0189
Pm Nd Cd Hg
1 2 1 4
Direct
0.0000 0.0000 0.0000
0.2403 0.2403 0.2403
0.7597 0.7597 0.7597
0.5000 0.5000 0.5000
0.1225 0.1225 0.1225
0.3698 0.3698 0.3698
0.6302 0.6302 0.6302
0.8775 0.8775 0.8775
```

[4]
The following is a PBE-GGA calculation of Pm2NdCdHg4 after structural relaxation, from Alexandria via LeMat-Bulk.

## Properties
ΔH_f (0 K) (eV/atom): -0.43
VASP energy (eV per formula unit): -19.85
Density of states at the Fermi level (states/eV/atom): 0.7668
Space group: R-3m

Structure (POSCAR):
```
Pm2NdCdHg4
1.0
2.6087 1.5061 9.0483
-2.6087 1.5061 9.0483
0.0000 -3.0123 9.0483
Pm Nd Cd Hg
2 1 1 4
Direct
0.2399 0.2399 0.2399
0.7601 0.7601 0.7601
0.0000 0.0000 0.0000
0.5000 0.5000 0.5000
0.1231 0.1231 0.1231
0.3722 0.3722 0.3722
0.6278 0.6278 0.6278
0.8769 0.8769 0.8769
```

[5]
The following is a PBE-GGA calculation of PrNdCdHg after structural relaxation, from Alexandria via LeMat-Bulk.

## Properties
ΔH_f (0 K) (eV/atom): -0.39
VASP energy (eV per formula unit): -12.33
Density of states at the Fermi level (states/eV/atom): 1.1758
Space group: P4mm

Structure (POSCAR):
```
PrNdCdHg
1.0
3.8615 0.0000 0.0000
0.0000 3.8615 0.0000
0.0000 0.0000 7.7253
Pr Nd Cd Hg
1 1 1 1
Direct
0.0000 0.0000 0.0000
0.0000 0.0000 0.4965
0.5000 0.5000 0.7448
0.5000 0.5000 0.2530
```

[6]
The following is a PBE-GGA calculation of Pr2NdCdHg4 after structural relaxation, from Alexandria via LeMat-Bulk.

## Properties
ΔH_f (0 K) (eV/atom): -0.44
VASP energy (eV per formula unit): -19.93
Density of states at the Fermi level (states/eV/atom): 0.7796
Space group: R-3m

Structure (POSCAR):
```
Pr2NdCdHg4
1.0
2.6319 1.5195 9.1135
-2.6319 1.5195 9.1135
0.0000 -3.0391 9.1135
Pr Nd Cd Hg
2 1 1 4
Direct
0.2399 0.2399 0.2399
0.7601 0.7601 0.7601
0.0000 0.0000 0.0000
0.5000 0.5000 0.5000
0.1228 0.1228 0.1228
0.3703 0.3703 0.3703
0.6297 0.6297 0.6297
0.8772 0.8772 0.8772
```

[7]
The following is a PBE-GGA calculation of PrNdCdHg after structural relaxation, from Alexandria via LeMat-Bulk.

## Properties
ΔH_f (0 K) (eV/atom): -0.39
VASP energy (eV per formula unit): -12.33
Density of states at the Fermi level (states/eV/atom): 0.9840
Space group: F-43m

Structure (POSCAR):
```
PrNdCdHg
1.0
7.7190 0.0000 0.0000
0.0000 7.7190 0.0000
0.0000 0.0000 7.7190
Pr Nd Cd Hg
4 4 4 4
Direct
0.0000 0.0000 0.0000
0.0000 0.5000 0.5000
0.5000 0.0000 0.5000
0.5000 0.5000 0.0000
0.0000 0.0000 0.5000
0.0000 0.5000 0.0000
0.5000 0.0000 0.0000
0.5000 0.5000 0.5000
0.2500 0.2500 0.2500
0.2500 0.7500 0.7500
0.7500 0.2500 0.7500
0.7500 0.7500 0.2500
0.2500 0.2500 0.7500
0.2500 0.7500 0.2500
0.7500 0.2500 0.2500
0.7500 0.7500 0.7500
```

[8]
The following is a PBE-GGA calculation of NdScCd2Hg4 after structural relaxation, from Alexandria via LeMat-Bulk.

## Properties
ΔH_f (0 K) (eV/atom): -0.33
VASP energy (eV per formula unit): -16.77
Density of states at the Fermi level (states/eV/atom): 0.4218
Space group: R-3m

Structure (POSCAR):
```
NdScCd2Hg4
1.0
2.5301 1.4608 8.3601
-2.5301 1.4608 8.3601
0.0000 -2.9216 8.3601
Nd Sc Cd Hg
1 1 2 4
Direct
0.0000 0.0000 0.0000
0.5000 0.5000 0.5000
0.2514 0.2514 0.2514
0.7486 0.7486 0.7486
0.1305 0.1305 0.1305
0.3818 0.3818 0.3818
0.6182 0.6182 0.6182
0.8695 0.8695 0.8695
```

Repeat the seventh record exactly.
The following is a PBE-GGA calculation of PrNdCdHg after structural relaxation, from Alexandria via LeMat-Bulk.

## Properties
ΔH_f (0 K) (eV/atom): -0.39
VASP energy (eV per formula unit): -12.33
Density of states at the Fermi level (states/eV/atom): 0.9840
Space group: F-43m

Structure (POSCAR):
```
PrNdCdHg
1.0
7.7190 0.0000 0.0000
0.0000 7.7190 0.0000
0.0000 0.0000 7.7190
Pr Nd Cd Hg
4 4 4 4
Direct
0.0000 0.0000 0.0000
0.0000 0.5000 0.5000
0.5000 0.0000 0.5000
0.5000 0.5000 0.0000
0.0000 0.0000 0.5000
0.0000 0.5000 0.0000
0.5000 0.0000 0.0000
0.5000 0.5000 0.5000
0.2500 0.2500 0.2500
0.2500 0.7500 0.7500
0.7500 0.2500 0.7500
0.7500 0.7500 0.2500
0.2500 0.2500 0.7500
0.2500 0.7500 0.2500
0.7500 0.2500 0.2500
0.7500 0.7500 0.7500
```

- Number 8 is which compound?
  NdScCd2Hg4

- Among the records above, which one has the highest ΔH_f (0 K)?
  NdScCd2Hg4

- Number 5 is which compound?
  PrNdCdHg